This record from Alexandria via LeMat-Bulk describes crystalline Sn3PtCl at its relaxed geometry. The functional is PBE-GGA.

## Properties
Density of states at the Fermi level, states/eV per atom: 1.00
SG: No. 221
E_tot, eV for the cell shown: -16.3
Formation energy (no corrections), kJ per mole of atoms: 68.5
Energy above the lowest structure with this stoichiometry, eV per formula unit: 3.92
Magnetization, μB/f.u.: 0.00

Cell lengths 5.2215, 5.2215, 5.2215 Å; angles 90.00, 90.00, 90.00 degrees
Closest atoms and distances in Å follow each position.
Element x y z (fractional)
Sn 0.5000 0.0000 0.0000  2 Cl 2.61
Sn 0.0000 0.0000 0.5000  2 Cl 2.61
Sn 0.0000 0.5000 0.0000  2 Cl 2.61
Cl 0.0000 0.0000 0.0000  6 Sn 2.61
Pt 0.5000 0.5000 0.5000  12 Sn 3.69

=====

This record from Alexandria via LeMat-Bulk describes crystalline SnPtCl at its relaxed geometry. The functional is PBE-GGA.

## Properties
Density of states at the Fermi level, states/eV per atom: 0.30
SG: No. 14
E_tot, eV for the cell shown: -52.7
Formation energy (no corrections), kJ per mole of atoms: -41.1
Magnetization, μB/f.u.: 0.00

Cell lengths 6.3278, 6.6226, 7.4978 Å; angles 101.38, 90.00, 90.00 degrees
Closest atoms and distances in Å follow each position.
Element x y z (fractional)
Cl 0.1471 0.8711 0.2260  2 Pt 2.55-2.63, 1 Sn 2.76
Cl 0.8529 0.1289 0.7740  2 Pt 2.55-2.63, 1 Sn 2.76
Cl 0.3529 0.8711 0.7260  2 Pt 2.55-2.63, 1 Sn 2.76
Cl 0.6471 0.1289 0.2740  2 Pt 2.55-2.63, 1 Sn 2.76
Sn 0.6384 0.6288 0.8676  3 Pt 2.59-2.65, 1 Cl 2.76
Sn 0.1384 0.3712 0.6324  3 Pt 2.59-2.65, 1 Cl 2.76
Sn 0.3616 0.3712 0.1324  3 Pt 2.59-2.65, 1 Cl 2.76
Sn 0.8616 0.6288 0.3676  3 Pt 2.59-2.65, 1 Cl 2.76
Pt 0.0265 0.2590 0.2861  2 Cl 2.55-2.63, 3 Sn 2.59-2.65
Pt 0.9735 0.7410 0.7139  2 Cl 2.55-2.63, 3 Sn 2.59-2.65
Pt 0.4735 0.2590 0.7861  2 Cl 2.55-2.63, 3 Sn 2.59-2.65
Pt 0.5265 0.7410 0.2139  2 Cl 2.55-2.63, 3 Sn 2.59-2.65

=====

This record from Alexandria via LeMat-Bulk describes crystalline SnPtCl2 at its relaxed geometry. The functional is PBE-GGA.

## Properties
Density of states at the Fermi level, states/eV per atom: 0.06
SG: No. 122
E_tot, eV for the cell shown: -27.9
Formation energy (no corrections), kJ per mole of atoms: -5.0
Energy above the lowest structure with this stoichiometry, eV per formula unit: 0.27
Magnetization, μB/f.u.: 0.00

Cell lengths 4.5626, 4.5626, 9.3676 Å; angles 75.91, 75.91, 90.00 degrees
Closest atoms and distances in Å follow each position.
Element x y z (fractional)
Cl 0.3750 0.3442 0.7500  2 Pt 2.67, 2 Sn 2.79
Cl 0.0942 0.6250 0.2500  2 Pt 2.67, 2 Sn 2.79
Cl 0.6558 0.1250 0.2500  2 Pt 2.67, 2 Sn 2.79
Cl 0.8750 0.9058 0.7500  2 Pt 2.67, 2 Sn 2.79
Sn 0.5000 0.5000 0.0000  4 Cl 2.79
Sn 0.2500 0.7500 0.5000  4 Cl 2.79
Pt 0.0000 0.0000 0.0000  4 Cl 2.67
Pt 0.7500 0.2500 0.5000  4 Cl 2.67

=====

This record from Alexandria via LeMat-Bulk describes crystalline Sn3PtCl at its relaxed geometry. The functional is PBE-GGA.

## Properties
Density of states at the Fermi level, states/eV per atom: 0.70
SG: No. 221
E_tot, eV for the cell shown: -20.3
Formation energy (no corrections), kJ per mole of atoms: -7.0
Energy above the lowest structure with this stoichiometry, eV per formula unit: 0.00
Magnetization, μB/f.u.: 0.00

Cell lengths 5.3041, 5.3041, 5.3041 Å; angles 90.00, 90.00, 90.00 degrees
Closest atoms and distances in Å follow each position.
Element x y z (fractional)
Sn 0.5000 0.0000 0.0000  2 Pt 2.65
Sn 0.0000 0.5000 0.0000  2 Pt 2.65
Sn 0.0000 0.0000 0.5000  2 Pt 2.65
Pt 0.0000 0.0000 0.0000  6 Sn 2.65
Cl 0.5000 0.5000 0.5000  12 Sn 3.75

=====

This record from Alexandria via LeMat-Bulk describes crystalline SnPtCl2 at its relaxed geometry. The functional is PBE-GGA.

## Properties
Density of states at the Fermi level, states/eV per atom: 0.26
SG: No. 166
E_tot, eV for the cell shown: -14.2
Formation energy (no corrections), kJ per mole of atoms: -11.6
Energy above the lowest structure with this stoichiometry, eV per formula unit: 0.00
Magnetization, μB/f.u.: 0.00

Cell lengths 9.3442, 9.3442, 9.3442 Å; angles 20.55, 20.55, 20.55 degrees
Closest atoms and distances in Å follow each position.
Element x y z (fractional)
Pt 0.0000 0.0000 0.0000  2 Cl 2.29
Cl 0.0834 0.0834 0.0834  1 Pt 2.29
Cl 0.9166 0.9166 0.9166  1 Pt 2.29
Sn 0.5000 0.5000 0.5000  6 Cl 2.99, 6 Sn 3.33

=====

This record from Alexandria via LeMat-Bulk describes crystalline SnPtCl3 at its relaxed geometry. The functional is PBE-GGA.

## Properties
Density of states at the Fermi level, states/eV per atom: 0.73
SG: No. 221
E_tot, eV for the cell shown: -16.5
Formation energy (no corrections), kJ per mole of atoms: -16.7
Energy above the lowest structure with this stoichiometry, eV per formula unit: 0.00
Magnetization, μB/f.u.: 0.00

Cell lengths 4.9436, 4.9436, 4.9436 Å; angles 90.00, 90.00, 90.00 degrees
Closest atoms and distances in Å follow each position.
Element x y z (fractional)
Cl 0.0000 0.5000 0.0000  2 Pt 2.47
Cl 0.0000 0.0000 0.5000  2 Pt 2.47
Cl 0.5000 0.0000 0.0000  2 Pt 2.47
Sn 0.5000 0.5000 0.5000  12 Cl 3.50
Pt 0.0000 0.0000 0.0000  6 Cl 2.47

=====

This record from Alexandria via LeMat-Bulk describes crystalline SnPtCl2 at its relaxed geometry. The functional is PBE-GGA.

## Properties
Density of states at the Fermi level, states/eV per atom: 0.02
SG: No. 225
E_tot, eV for the cell shown: -13.1
Formation energy (no corrections), kJ per mole of atoms: 14.6
Energy above the lowest structure with this stoichiometry, eV per formula unit: 1.09
Magnetization, μB/f.u.: 0.00

Cell lengths 4.9075, 4.9075, 4.9075 Å; angles 60.00, 60.00, 60.00 degrees
Closest atoms and distances in Å follow each position.
Element x y z (fractional)
Pt 0.5000 0.5000 0.5000  8 Cl 3.01
Sn 0.0000 0.0000 0.0000  8 Cl 3.01
Cl 0.7500 0.7500 0.7500  4 Sn 3.01, 4 Pt 3.01
Cl 0.2500 0.2500 0.2500  4 Pt 3.01, 4 Sn 3.01

=====

This record from Alexandria via LeMat-Bulk describes crystalline SrSn2PtCl at its relaxed geometry. The functional is PBE-GGA.

## Properties
Density of states at the Fermi level, states/eV per atom: 0.88
SG: No. 123
E_tot, eV for the cell shown: -13.4
Formation energy (no corrections), kJ per mole of atoms: 80.0
Magnetization, μB/f.u.: 1.33

Cell lengths 6.3224, 5.2883, 6.3224 Å; angles 90.00, 90.00, 90.00 degrees
Closest atoms and distances in Å follow each position.
Element x y z (fractional)
Sn 0.0000 0.0000 0.5000  2 Sr 3.16
Sn 0.5000 0.0000 0.0000  2 Sr 3.16
Sr 0.0000 0.0000 0.0000  2 Pt 2.64
Pt 0.0000 0.5000 0.0000  2 Sr 2.64
Cl 0.5000 0.5000 0.5000  8 Sn 4.12, 4 Pt 4.47